1.
DFT (GGA-PBEsol) results for a relaxed structure of Tb3CrS6.

Results
E	-278.14	eV/cell
SG	Pnnm (58)
M_tot	12.0	μB per cell
formation energy (no corrections)	-1.80	eV/atom

a b c (Å): 3.7374 13.1508 15.6664
angles (deg): 90.00 90.00 90.00
Last column: nearest neighbours and their distance in Å.
Element x y z (fractional)
Tb  0.0000  0.5539  0.2796  8 S 2.76-2.89
Tb  0.0000  0.4461  0.7204  8 S 2.76-2.89
Tb  0.5000  0.9461  0.7796  8 S 2.76-2.89
Tb  0.5000  0.0539  0.2204  8 S 2.76-2.89
Tb  0.0000  0.7603  0.0957  7 S 2.74-2.97
Tb  0.0000  0.2397  0.9043  7 S 2.74-2.97
Tb  0.5000  0.7397  0.5957  7 S 2.74-2.97
Tb  0.5000  0.2603  0.4043  7 S 2.74-2.97
Tb  0.0000  0.3214  0.1484  7 S 2.69-2.81
Tb  0.0000  0.6786  0.8516  7 S 2.69-2.81
Tb  0.5000  0.1786  0.6484  7 S 2.69-2.81
Tb  0.5000  0.8214  0.3516  7 S 2.69-2.81
Cr  0.0000  0.0000  0.5000  6 S 2.38-2.43
Cr  0.5000  0.5000  0.0000  6 S 2.38-2.43
Cr  0.0000  0.0000  0.0000  6 S 2.31-2.44
Cr  0.5000  0.5000  0.5000  6 S 2.31-2.44
S  0.0000  0.1235  0.1051  1 Cr 2.31
S  0.0000  0.8765  0.8949  1 Cr 2.31
S  0.5000  0.3765  0.6051  1 Cr 2.31
S  0.5000  0.6235  0.3949  1 Cr 2.31
S  0.0000  0.1905  0.2901  5 Tb 2.74-2.81, 1 S 3.03
S  0.0000  0.8095  0.7099  5 Tb 2.74-2.81, 1 S 3.03
S  0.5000  0.3095  0.7901  5 Tb 2.74-2.81, 1 S 3.03
S  0.5000  0.6905  0.2099  5 Tb 2.74-2.81, 1 S 3.03
S  0.0000  0.1794  0.5203  1 Cr 2.38
S  0.0000  0.8206  0.4797  1 Cr 2.38
S  0.5000  0.3206  0.0203  1 Cr 2.38
S  0.5000  0.6794  0.9797  1 Cr 2.38
S  0.0000  0.5249  0.0969  2 Cr 2.43
S  0.0000  0.4751  0.9031  2 Cr 2.43
S  0.5000  0.9751  0.5969  2 Cr 2.43
S  0.5000  0.0249  0.4031  2 Cr 2.43
S  0.0000  0.1003  0.7555  5 Tb 2.71-2.97
S  0.0000  0.8997  0.2445  5 Tb 2.71-2.97
S  0.5000  0.3997  0.2555  5 Tb 2.71-2.97
S  0.5000  0.6003  0.7445  5 Tb 2.71-2.97
S  0.0000  0.4210  0.4249  2 Cr 2.44
S  0.0000  0.5790  0.5751  2 Cr 2.44
S  0.5000  0.0790  0.9249  2 Cr 2.44
S  0.5000  0.9210  0.0751  2 Cr 2.44

---

2.
DFT (GGA-PBEsol) results for a relaxed structure of HgBr2.

Results
E	-5.54	eV/cell
SG	P-3m1 (164)
M_tot	0.0	μB per cell
formation energy (no corrections)	-0.41	eV/atom

a b c (Å): 4.0304 4.0304 6.3056
angles (deg): 90.00 90.00 120.00
Last column: nearest neighbours and their distance in Å.
Element x y z (fractional)
Hg  0.0000  0.0000  0.0000  6 Br 2.81
Br  0.6667  0.3333  0.2504  3 Hg 2.81
Br  0.3333  0.6667  0.7496  3 Hg 2.81

---

3.
DFT (GGA-PBEsol) results for a relaxed structure of Sr2ZnRe.

Results
E	-15.39	eV/cell
ΔE_f	0.801	eV/atom
SG	P4/mmm (123)
M_tot	0.0	μB per cell

a b c (Å): 2.9851 5.6773 5.6773
angles (deg): 90.00 90.00 90.00
Last column: nearest neighbours and their distance in Å.
Element x y z (fractional)
Re  0.5000  0.0000  0.0000  2 Re 2.99, 8 Sr 3.21
Sr  0.0000  0.0000  0.5000  2 Sr 2.99, 4 Re 3.21, 4 Zn 3.21
Sr  0.0000  0.5000  0.0000  2 Sr 2.99, 4 Zn 3.21, 4 Re 3.21
Zn  0.5000  0.5000  0.5000  2 Zn 2.99, 8 Sr 3.21

---

4.
DFT (GGA-PBEsol) results for a relaxed structure of Al2SnWO.

Results
E	-31.65	eV/cell
SG	P4/mmm (123)
M_tot	0.0	μB per cell
formation energy (no corrections)	-0.03	eV/atom

a b c (Å): 4.2787 4.2787 4.1257
angles (deg): 90.00 90.00 90.00
Last column: nearest neighbours and their distance in Å.
Element x y z (fractional)
O  0.0000  0.0000  0.0000  2 W 2.06, 4 Al 2.14
Sn  0.5000  0.5000  0.5000  8 Al 2.97, 4 W 3.03
W  0.0000  0.0000  0.5000  2 O 2.06
Al  0.0000  0.5000  0.0000  2 O 2.14
Al  0.5000  0.0000  0.0000  2 O 2.14

---

5.
DFT (GGA-PBEsol) results for a relaxed structure of LiLaCu2.

Results
E	-16.24	eV/cell
ΔE_f	-0.063	eV/atom
SG	R-3m (166)
M_tot	0.0	μB per cell

a b c (Å): 4.2731 4.2731 5.3730
angles (deg): 66.57 66.57 60.00
Last column: nearest neighbours and their distance in Å.
Element x y z (fractional)
La  0.5000  0.5000  0.5000  8 Cu 2.88-3.11
Cu  0.2992  0.2992  0.1024  3 Li 2.52, 3 Cu 2.65
Cu  0.7008  0.7008  0.8976  3 Li 2.52, 3 Cu 2.65
Li  0.0000  0.0000  0.0000  6 Cu 2.52

---

6.
DFT (GGA-PBEsol) results for a relaxed structure of Mn4SiAs.

Results
E	-48.27	eV/cell
SG	F-43m (216)
M_tot	3.5	μB per cell
formation energy (no corrections)	0.27	eV/atom

a b c (Å): 4.6646 4.6646 4.6646
angles (deg): 60.00 60.00 60.00
Last column: nearest neighbours and their distance in Å.
Element x y z (fractional)
As  0.0000  0.0000  0.0000  12 Mn 2.74, 4 Si 2.86
Mn  0.3751  0.3751  0.3751  6 Mn 2.33
Mn  0.3751  0.3751  0.8746  6 Mn 2.33
Mn  0.8746  0.3751  0.3751  6 Mn 2.33
Mn  0.3751  0.8746  0.3751  6 Mn 2.33
Si  0.7500  0.7500  0.7500  12 Mn 2.73, 4 As 2.86

---

> Which formula does entry 2 have?

HgBr2